(1)
A relaxed Pm4Nd5Er crystal. Source: Alexandria via LeMat-Bulk, functional GGA-PBE.

Calculated values
As for the space group: P4/mmm, No. 123. The formation energy comes out at 0.0171 eV per atom. For the energy above the most stable polymorph in this dataset, the calculation gives 0.0023 eV per atom.

Cell: 3.665 3.665 25.706 Å, 90.00 90.00 90.00°
Sites, in units of the cell vectors:
Nd  0.500  0.500  0.097
Nd  0.500  0.500  0.903
Nd  0.500  0.500  0.500
Nd  0.500  0.500  0.702
Nd  0.500  0.500  0.298
Pm  0.000  0.000  0.601
Pm  0.000  0.000  0.197
Pm  0.000  0.000  0.803
Pm  0.000  0.000  0.399
Er  0.000  0.000  0.000

---

(2)
A relaxed Pm4Nd4Er crystal. Source: Alexandria via LeMat-Bulk, functional GGA-PBE.

Calculated values
As for the space group: I4/mmm, No. 139. The formation energy comes out at 0.0139 eV per atom.

Cell: 5.155 8.158 8.158 Å, 84.27 71.58 71.58°
Sites, in units of the cell vectors:
Nd  0.334  0.332  0.000
Nd  0.666  0.000  0.668
Nd  0.334  0.000  0.332
Nd  0.666  0.668  0.000
Pm  0.333  0.667  0.667
Pm  0.000  0.667  0.333
Pm  0.000  0.333  0.667
Pm  0.667  0.333  0.333
Er  0.000  0.000  0.000

---

(3)
A relaxed Pm3Nd8Er3 crystal. Source: Alexandria via LeMat-Bulk, functional GGA-PBE.

Calculated values
As for the space group: Immm, No. 71. The formation energy comes out at 0.1150 eV per atom. For the energy above the most stable polymorph in this dataset, the calculation gives 0.0148 eV per atom.

Cell: 5.705 9.854 9.854 Å, 102.53 73.17 73.17°
Sites, in units of the cell vectors:
Er  0.000  0.183  0.817
Er  0.500  0.000  0.000
Er  0.000  0.817  0.183
Pm  0.807  0.193  0.193
Pm  0.193  0.807  0.807
Pm  0.500  0.500  0.500
Nd  0.163  0.233  0.441
Nd  0.657  0.117  0.568
Nd  0.837  0.767  0.559
Nd  0.657  0.568  0.117
Nd  0.837  0.559  0.767
Nd  0.343  0.883  0.432
Nd  0.163  0.441  0.233
Nd  0.343  0.432  0.883

---

(4)
A relaxed Pm3NdEr2 crystal. Source: Alexandria via LeMat-Bulk, functional GGA-PBE.

Calculated values
As for the space group: P-1, No. 2. The formation energy comes out at 0.0020 eV per atom. For the energy above the most stable polymorph in this dataset, the calculation gives 0.0000 eV per atom.

Cell: 6.291 7.278 8.969 Å, 101.69 96.74 90.00°
Sites, in units of the cell vectors:
Er  0.364  0.792  0.665
Er  0.636  0.208  0.335
Er  0.363  0.291  0.665
Er  0.637  0.709  0.335
Pm  0.139  0.959  0.335
Pm  0.140  0.459  0.335
Pm  0.748  0.876  0.004
Pm  0.860  0.541  0.665
Pm  0.252  0.124  0.996
Pm  0.861  0.041  0.665
Nd  0.252  0.624  0.996
Nd  0.748  0.376  0.004

---

(5)
A relaxed Pm2Nd5Er3 crystal. Source: Alexandria via LeMat-Bulk, functional GGA-PBE.

Calculated values
As for the space group: C2/c, No. 15. The formation energy comes out at 0.1830 eV per atom. For the energy above the most stable polymorph in this dataset, the calculation gives 0.0000 eV per atom.

Cell: 9.958 9.986 9.303 Å, 108.71 108.58 113.79°
Sites, in units of the cell vectors:
Pm  0.028  0.972  0.244
Pm  0.716  0.272  0.244
Pm  0.972  0.028  0.756
Pm  0.284  0.728  0.756
Nd  0.223  0.473  0.947
Nd  0.018  0.268  0.537
Nd  0.117  0.379  0.241
Nd  0.376  0.138  0.759
Nd  0.624  0.862  0.241
Nd  0.883  0.621  0.759
Nd  0.982  0.732  0.463
Nd  0.478  0.228  0.457
Nd  0.522  0.772  0.543
Nd  0.777  0.527  0.053
Er  0.271  0.021  0.043
Er  0.480  0.534  0.754
Er  0.226  0.780  0.246
Er  0.729  0.979  0.957
Er  0.774  0.220  0.754
Er  0.520  0.466  0.246

---

(6)
A relaxed Pm5NdEr3 crystal. Source: Alexandria via LeMat-Bulk, functional GGA-PBE.

Calculated values
As for the space group: I4/mcm, No. 140. The formation energy comes out at 0.2860 eV per atom. For the energy above the most stable polymorph in this dataset, the calculation gives 0.1100 eV per atom.

Cell: 8.045 8.045 11.055 Å, 111.34 111.34 90.00°
Sites, in units of the cell vectors:
Pm  0.570  0.665  0.735
Pm  0.430  0.335  0.265
Pm  0.665  0.165  0.735
Pm  0.000  0.000  0.000
Pm  0.335  0.835  0.265
Pm  0.165  0.070  0.735
Pm  0.835  0.930  0.265
Pm  0.070  0.570  0.735
Pm  0.500  0.500  0.000
Pm  0.930  0.430  0.265
Er  0.129  0.371  0.000
Er  0.629  0.129  0.000
Er  0.250  0.250  0.500
Er  0.371  0.871  0.000
Er  0.871  0.629  0.000
Er  0.750  0.750  0.500
Nd  0.750  0.250  0.500
Nd  0.250  0.750  0.500

---

(7)
A relaxed PmNd7Er3 crystal. Source: Alexandria via LeMat-Bulk, functional GGA-PBE.

Calculated values
As for the space group: C2/m, No. 12. The formation energy comes out at 0.2192 eV per atom. For the energy above the most stable polymorph in this dataset, the calculation gives 0.0423 eV per atom.

Cell: 5.926 8.585 8.585 Å, 83.56 110.22 110.22°
Sites, in units of the cell vectors:
Nd  0.695  0.403  0.987
Nd  0.000  0.500  0.500
Nd  0.695  0.987  0.403
Nd  0.305  0.597  0.013
Nd  0.305  0.013  0.597
Nd  0.210  0.209  0.209
Nd  0.790  0.791  0.791
Pm  0.500  0.500  0.500
Er  0.000  0.798  0.202
Er  0.500  0.000  0.000
Er  0.000  0.202  0.798

---

(8)
A relaxed Pm3Nd2Er4 crystal. Source: Alexandria via LeMat-Bulk, functional GGA-PBE.

Calculated values
As for the space group: C2/c, No. 15. The formation energy comes out at 0.0953 eV per atom. For the energy above the most stable polymorph in this dataset, the calculation gives 0.0777 eV per atom.

Cell: 6.126 11.304 11.304 Å, 62.32 63.20 63.20°
Sites, in units of the cell vectors:
Nd  0.436  0.269  0.513
Nd  0.564  0.731  0.487
Nd  0.064  0.487  0.731
Nd  0.936  0.513  0.269
Er  0.400  0.619  0.846
Er  0.923  0.171  0.948
Er  0.423  0.948  0.171
Er  0.577  0.052  0.829
Er  0.077  0.829  0.052
Er  0.600  0.381  0.154
Er  0.900  0.846  0.619
Er  0.100  0.154  0.381
Pm  0.750  0.358  0.642
Pm  0.764  0.015  0.311
Pm  0.264  0.311  0.015
Pm  0.236  0.985  0.689
Pm  0.736  0.689  0.985
Pm  0.250  0.642  0.358

---

For each record above, in turn, the calculated E values are -4.7233, -4.7235, -4.6052, -4.6889, -4.5199, -4.4039, -4.4911, -4.5757 eV per atom.